## LaReSe2 (meta-GGA SCAN)

Data for LaReSe2 at its PBEsol-relaxed geometry.

a b c (Å): 3.3253 3.9763 6.2926
angles (deg): 90.00 90.22 90.00
With the nearest neighbours (Å) after each atom.
Fractional positions:
La 0.0000 0.0000 0.0000  8 Se 3.08-3.09, 2 La 3.33
Re 0.5000 0.0000 0.5000  4 Se 2.48
Se 0.4968 0.5000 0.7345  2 Re 2.48
Se 0.5032 0.5000 0.2655  2 Re 2.48

Calculated values
VASP energy (eV per atom): -39.079
Size of the total moment (μB per cell): 0.000

## LaReSi2 (meta-GGA SCAN)

Data for LaReSi2 at its PBEsol-relaxed geometry.

a b c (Å): 7.9635 3.3597 6.6157
angles (deg): 90.00 118.07 90.00
With the nearest neighbours (Å) after each atom.
Fractional positions:
La 0.0000 0.0000 0.0000  6 Si 2.98-3.21, 3 Re 3.13-3.29
La 0.5000 0.5000 0.0000  6 Si 2.98-3.21, 3 Re 3.13-3.29
Re 0.2147 0.0000 0.5366  6 Si 2.45-2.54
Re 0.7147 0.5000 0.5366  6 Si 2.45-2.54
Si 0.0654 0.5000 0.6709  3 Re 2.45-2.50, 2 Si 2.54
Si 0.3551 0.5000 0.3693  3 Re 2.54, 2 Si 2.54
Si 0.5654 0.0000 0.6709  3 Re 2.45-2.50, 2 Si 2.54
Si 0.8551 0.0000 0.3693  3 Re 2.54, 2 Si 2.54

Calculated values
VASP energy (eV per atom): -33.896
Size of the total moment (μB per cell): 0.000

## LaZrReSn2 (meta-GGA SCAN)

Data for LaZrReSn2 at its PBEsol-relaxed geometry.

a b c (Å): 5.5529 5.5529 4.7702
angles (deg): 90.00 90.00 90.00
With the nearest neighbours (Å) after each atom.
Fractional positions:
La 0.0000 0.0000 0.0000  2 Re 2.39
Zr 0.5000 0.5000 0.5000  8 Sn 3.66, 4 Re 3.93
Re 0.0000 0.0000 0.5000  2 La 2.39
Sn 0.0000 0.5000 0.0000  2 La 2.78
Sn 0.5000 0.0000 0.0000  2 La 2.78

Calculated values
ΔH_f (0 K) (kJ/mol of atoms): 163
Size of the total moment (μB per cell): 0.746

## Sr2LaRe (meta-GGA SCAN)

Data for Sr2LaRe at its PBEsol-relaxed geometry.

a b c (Å): 3.4197 3.4197 35.3256
angles (deg): 90.00 90.00 120.00
With the nearest neighbours (Å) after each atom.
Fractional positions:
Sr 0.0000 0.0000 0.2329  3 Re 3.06, 6 Sr 3.42
Sr 0.0000 0.0000 0.7671  3 Re 3.06, 6 Sr 3.42
Sr 0.3333 0.6667 0.4338  3 Re 3.06, 6 Sr 3.42
Sr 0.3333 0.6667 0.8996  3 Re 3.06, 6 Sr 3.42
Sr 0.6667 0.3333 0.1004  3 Re 3.06, 6 Sr 3.42
Sr 0.6667 0.3333 0.5662  3 Re 3.06, 6 Sr 3.42
La 0.0000 0.0000 0.0000  6 La 3.42
La 0.3333 0.6667 0.6667  6 La 3.42
La 0.6667 0.3333 0.3333  6 La 3.42
Re 0.0000 0.0000 0.5000  6 Sr 3.06, 6 Re 3.42
Re 0.3333 0.6667 0.1667  6 Sr 3.06, 6 Re 3.42
Re 0.6667 0.3333 0.8333  6 Sr 3.06, 6 Re 3.42

Calculated values
ΔH_f (0 K) (kJ/mol of atoms): 102
Size of the total moment (μB per cell): 4.119

## La2TaRe (meta-GGA SCAN)

Data for La2TaRe at its PBEsol-relaxed geometry.

a b c (Å): 3.2747 5.1364 10.1808
angles (deg): 90.00 90.00 90.00
With the nearest neighbours (Å) after each atom.
Fractional positions:
La 0.0000 0.0000 0.2310  2 Re 2.87, 4 La 3.05, 2 Ta 3.19
La 0.0000 0.0000 0.7690  2 Re 2.87, 4 La 3.05, 2 Ta 3.19
La 0.5000 0.5000 0.2310  2 Re 2.87, 4 La 3.05, 2 Ta 3.19
La 0.5000 0.5000 0.7690  2 Re 2.87, 4 La 3.05, 2 Ta 3.19
Ta 0.0000 0.5000 0.5000  6 Ta 3.05-3.27, 4 La 3.19
Ta 0.5000 0.0000 0.5000  6 Ta 3.05-3.27, 4 La 3.19
Re 0.0000 0.5000 0.0000  4 La 2.87, 4 Re 3.05
Re 0.5000 0.0000 0.0000  4 La 2.87, 4 Re 3.05

Calculated values
ΔH_f (0 K) (kJ/mol of atoms): 73
Size of the total moment (μB per cell): 0.000
Distance to the lowest polymorph of the same formula (eV per formula unit): 2.107

## LaTaRe (meta-GGA SCAN)

Data for LaTaRe at its PBEsol-relaxed geometry.

a b c (Å): 6.3430 6.3430 6.3430
angles (deg): 90.00 90.00 90.00
With the nearest neighbours (Å) after each atom.
Fractional positions:
La 0.0000 0.0000 0.0000  4 Re 2.75, 4 Ta 2.75
La 0.0000 0.5000 0.5000  4 Re 2.75, 4 Ta 2.75
La 0.5000 0.0000 0.5000  4 Re 2.75, 4 Ta 2.75
La 0.5000 0.5000 0.0000  4 Re 2.75, 4 Ta 2.75
Ta 0.2500 0.2500 0.2500  4 La 2.75
Ta 0.2500 0.7500 0.7500  4 La 2.75
Ta 0.7500 0.2500 0.7500  4 La 2.75
Ta 0.7500 0.7500 0.2500  4 La 2.75
Re 0.2500 0.2500 0.7500  4 La 2.75
Re 0.2500 0.7500 0.2500  4 La 2.75
Re 0.7500 0.2500 0.2500  4 La 2.75
Re 0.7500 0.7500 0.7500  4 La 2.75

Calculated values
ΔH_f (0 K) (kJ/mol of atoms): 186
Size of the total moment (μB per cell): 0.000

## La2TaRe (meta-GGA SCAN)

Data for La2TaRe at its PBEsol-relaxed geometry.

a b c (Å): 11.7493 3.4917 5.2596
angles (deg): 90.00 116.40 90.00
With the nearest neighbours (Å) after each atom.
Fractional positions:
La 0.0000 0.0000 0.0000  4 Ta 3.23-3.24, 2 Re 3.26, 6 La 3.37-3.55
La 0.2260 0.0000 0.7267  4 Re 3.18, 6 La 3.37-3.55, 4 Ta 3.41-3.55
La 0.5000 0.5000 0.0000  4 Ta 3.23-3.24, 2 Re 3.26, 6 La 3.37-3.55
La 0.7260 0.5000 0.7267  4 Re 3.18, 6 La 3.37-3.55, 4 Ta 3.41-3.55
Ta 0.4321 0.0000 0.4319  2 Re 2.51
Ta 0.9321 0.5000 0.4319  2 Re 2.51
Re 0.2611 0.5000 0.2620  2 Ta 2.51
Re 0.7611 0.0000 0.2620  2 Ta 2.51

Calculated values
ΔH_f (0 K) (kJ/mol of atoms): 22
Size of the total moment (μB per cell): 0.000
Distance to the lowest polymorph of the same formula (eV per formula unit): 0.000

## La2TaRe (meta-GGA SCAN)

Data for La2TaRe at its PBEsol-relaxed geometry.

a b c (Å): 3.1788 3.1788 8.9856
angles (deg): 90.00 90.00 90.00
With the nearest neighbours (Å) after each atom.
Fractional positions:
La 0.0000 0.0000 0.2232  4 Re 3.01, 4 La 3.18, 4 Ta 3.35
La 0.0000 0.0000 0.7768  4 Re 3.01, 4 La 3.18, 4 Ta 3.35
Ta 0.5000 0.5000 0.5000  4 Ta 3.18, 8 La 3.35
Re 0.5000 0.5000 0.0000  8 La 3.01, 4 Re 3.18

Calculated values
ΔH_f (0 K) (kJ/mol of atoms): 79
Size of the total moment (μB per cell): 0.000
Distance to the lowest polymorph of the same formula (eV per formula unit): 2.369